Entry from Alexandria via LeMat-Bulk: a relaxed structure of ScGa2F (GGA-PBE).

a b c (Å): 8.638 8.638 6.456
angles (deg): 48.01 48.01 90.00
Fractional coordinates of all 8 atoms:
Sc  0.000  0.000  0.000
Sc  0.750  0.250  0.500
Ga  0.550  0.125  0.250
Ga  0.200  0.625  0.250
Ga  0.375  0.450  0.750
Ga  0.875  0.800  0.750
F  0.500  0.500  0.000
F  0.250  0.750  0.500

Summary:
Energy above the lowest structure with this stoichiometry = 0 meV/atom
Density = 4.33 Mg/m³
SG = I-42d
VASP energy = -4.5185 eV per atom
D(E_F) = 2.44 states/eV per cell
Formation energy (no corrections) = -0.9544 eV/atom